A geometry-optimized Ba2Y2Ga structure, computed with PBE.

a b c (Å): 7.9740 7.9740 6.1406
angles (deg): 90.00 90.00 90.00
Sites, in units of the cell vectors:
Y 0.3442 0.8442 0.0000
Y 0.8442 0.6558 0.0000
Y 0.6558 0.1558 0.0000
Y 0.1558 0.3442 0.0000
Ga 0.0000 0.0000 0.0000
Ga 0.5000 0.5000 0.0000
Ba 0.6713 0.8287 0.5000
Ba 0.8287 0.3287 0.5000
Ba 0.3287 0.1713 0.5000
Ba 0.1713 0.6713 0.5000

Spin magnetization in μB/f.u.: 0.00
E_form in eV per atom: 0.077

A geometry-optimized MnCr2Ag structure, computed with PBE.

a b c (Å): 2.7980 3.4322 5.5907
angles (deg): 90.00 90.00 90.00
Sites, in units of the cell vectors:
Cr 0.0000 0.0000 0.4352
Cr 0.0000 0.0000 0.0648
Mn 0.5000 0.5000 0.2500
Ag 0.5000 0.5000 0.7500

Spin magnetization in μB/f.u.: 0.00
E_form in eV per atom: 0.414

A geometry-optimized SnPdSN2 structure, computed with PBE.

a b c (Å): 4.0565 4.0565 5.0760
angles (deg): 90.00 90.00 90.00
Each line ends with the local moment (μB).
Sites, in units of the cell vectors:
Sn 0.5000 0.5000 0.5000  -0.01
N 0.0000 0.5000 0.0000  0.92
N 0.5000 0.0000 0.0000  0.92
S 0.0000 0.0000 0.5000  0.12
Pd 0.0000 0.0000 0.0000  0.41

E_tot in eV/atom: -4.8348
Spin magnetization in μB/f.u.: 3.15

A geometry-optimized DyEr2NpAs4 structure, computed with PBE.

a b c (Å): 4.0903 7.0891 7.0933
angles (deg): 70.67 90.00 90.00
Each line ends with the local moment (μB).
Sites, in units of the cell vectors:
Dy 0.0000 0.5000 0.5000  -0.03
As 0.5000 0.2493 0.7525  0.04
As 0.0000 0.7510 0.7506  0.06
As 0.0000 0.2490 0.2494  0.06
As 0.5000 0.7507 0.2475  0.04
Np 0.5000 0.5000 0.0000  -3.66
Er 0.5000 0.0000 0.5000  0.00
Er 0.0000 0.0000 0.0000  -0.02

Spin magnetization in μB/f.u.: 3.77
E_form in eV per atom: -1.305